No. 1
Compound: Ge2Pd3
Source: OQMD via LeMat-Bulk
Functional: PBE-GGA
Structure: optimized geometry

Cell: 4.246 4.246 5.400 Å, 90.00 90.00 120.00°
Element x y z (fractional)
Ge  0.333  0.667  0.204
Ge  0.667  0.333  0.796
Pd  0.000  0.000  0.000
Pd  0.333  0.667  0.676
Pd  0.667  0.333  0.324

For the final energy, the calculation gives -5.31 eV/atom.

***

No. 2
Compound: GePd15
Source: OQMD via LeMat-Bulk
Functional: PBE-GGA
Structure: optimized geometry

Cell: 4.816 36.427 4.815 Å, 90.00 110.12 90.00°
Element x y z (fractional)
Ge  0.000  0.219  0.250
Ge  0.000  0.781  0.750
Pd  0.000  0.245  0.750
Pd  0.000  0.288  0.250
Pd  0.000  0.326  0.750
Pd  0.000  0.365  0.250
Pd  0.000  0.403  0.750
Pd  0.000  0.442  0.250
Pd  0.000  0.481  0.750
Pd  0.000  0.519  0.250
Pd  0.000  0.558  0.750
Pd  0.000  0.597  0.250
Pd  0.000  0.635  0.750
Pd  0.000  0.674  0.250
Pd  0.000  0.712  0.750
Pd  0.000  0.755  0.250
Pd  0.500  0.209  0.750
Pd  0.500  0.245  0.250
Pd  0.500  0.287  0.750
Pd  0.500  0.326  0.250
Pd  0.500  0.364  0.750
Pd  0.500  0.403  0.250
Pd  0.500  0.442  0.750
Pd  0.500  0.481  0.250
Pd  0.500  0.519  0.750
Pd  0.500  0.558  0.250
Pd  0.500  0.597  0.750
Pd  0.500  0.636  0.250
Pd  0.500  0.674  0.750
Pd  0.500  0.713  0.250
Pd  0.500  0.755  0.750
Pd  0.500  0.791  0.250

For the final energy, the calculation gives -5.15 eV/atom.

***

No. 3
Compound: GePd9
Source: OQMD via LeMat-Bulk
Functional: PBE-GGA
Structure: optimized geometry

Cell: 2.836 2.836 51.087 Å, 90.00 90.00 90.00°
Element x y z (fractional)
Ge  0.250  0.250  0.144
Ge  0.750  0.750  0.856
Pd  0.250  0.250  0.217
Pd  0.250  0.250  0.294
Pd  0.250  0.250  0.369
Pd  0.250  0.250  0.444
Pd  0.250  0.250  0.519
Pd  0.250  0.250  0.593
Pd  0.250  0.250  0.669
Pd  0.250  0.250  0.744
Pd  0.250  0.250  0.822
Pd  0.750  0.750  0.178
Pd  0.750  0.750  0.256
Pd  0.750  0.750  0.331
Pd  0.750  0.750  0.407
Pd  0.750  0.750  0.481
Pd  0.750  0.750  0.556
Pd  0.750  0.750  0.631
Pd  0.750  0.750  0.706
Pd  0.750  0.750  0.783

For the final energy, the calculation gives -5.14 eV/atom.

***

No. 4
Compound: GePd2
Source: OQMD via LeMat-Bulk
Functional: PBE-GGA
Structure: optimized geometry

Cell: 5.268 5.268 5.268 Å, 60.00 60.00 60.00°
Element x y z (fractional)
Ge  0.125  0.125  0.125
Ge  0.875  0.875  0.875
Pd  0.000  0.500  0.500
Pd  0.500  0.000  0.500
Pd  0.500  0.500  0.000
Pd  0.500  0.500  0.500

For the final energy, the calculation gives -4.93 eV/atom.

***

No. 5
Compound: Ge2Pd7
Source: OQMD via LeMat-Bulk
Functional: PBE-GGA
Structure: optimized geometry

Cell: 2.830 2.830 32.652 Å, 90.00 90.00 120.00°
Element x y z (fractional)
Ge  0.333  0.667  0.227
Ge  0.667  0.333  0.773
Pd  0.000  0.000  0.291
Pd  0.000  0.000  0.500
Pd  0.000  0.000  0.709
Pd  0.333  0.667  0.431
Pd  0.333  0.667  0.638
Pd  0.667  0.333  0.362
Pd  0.667  0.333  0.569

For the final energy, the calculation gives -5.08 eV/atom.

***

No. 6
Compound: Pm3Ge3Pd2
Source: OQMD via LeMat-Bulk
Functional: PBE-GGA
Structure: optimized geometry

Cell: 5.814 5.814 14.783 Å, 90.00 90.00 135.38°
Element x y z (fractional)
Pm  0.092  0.908  0.609
Pm  0.092  0.908  0.891
Pm  0.367  0.633  0.750
Pm  0.633  0.367  0.250
Pm  0.908  0.092  0.109
Pm  0.908  0.092  0.391
Ge  0.339  0.661  0.250
Ge  0.390  0.610  0.539
Ge  0.390  0.610  0.961
Ge  0.610  0.390  0.039
Ge  0.610  0.390  0.461
Ge  0.661  0.339  0.750
Pd  0.200  0.800  0.100
Pd  0.200  0.800  0.400
Pd  0.800  0.200  0.600
Pd  0.800  0.200  0.900

For the final energy, the calculation gives -5.73 eV/atom.

***

No. 7
Compound: Pm3Ge4Pd4
Source: OQMD via LeMat-Bulk
Functional: PBE-GGA
Structure: optimized geometry

Cell: 13.030 13.030 13.030 Å, 161.99 160.69 26.52°
Element x y z (fractional)
Pm  0.000  0.000  0.000
Pm  0.353  0.853  0.500
Pm  0.647  0.147  0.500
Ge  0.194  0.694  0.500
Ge  0.451  0.451  0.000
Ge  0.549  0.549  0.000
Ge  0.806  0.306  0.500
Pd  0.096  0.596  0.500
Pd  0.251  0.251  0.000
Pd  0.749  0.749  0.000
Pd  0.904  0.404  0.500

For the final energy, the calculation gives -5.75 eV/atom.

***

No. 8
Compound: Pm2Ge5Pd3
Source: OQMD via LeMat-Bulk
Functional: PBE-GGA
Structure: optimized geometry

Cell: 8.524 8.524 8.524 Å, 105.89 89.53 137.26°
Element x y z (fractional)
Pm  0.130  0.231  0.361
Pm  0.370  0.731  0.101
Pm  0.630  0.269  0.899
Pm  0.870  0.769  0.639
Ge  0.025  0.750  0.275
Ge  0.106  0.656  0.762
Ge  0.250  0.250  0.000
Ge  0.394  0.156  0.551
Ge  0.475  0.750  0.725
Ge  0.525  0.250  0.275
Ge  0.606  0.844  0.449
Ge  0.750  0.750  0.000
Ge  0.894  0.344  0.238
Ge  0.975  0.250  0.725
Pd  0.141  0.890  0.031
Pd  0.250  0.750  0.500
Pd  0.359  0.390  0.749
Pd  0.641  0.610  0.251
Pd  0.750  0.250  0.500
Pd  0.859  0.110  0.969

For the final energy, the calculation gives -5.56 eV/atom.

***

Q: What is the final energy in the seventh record?
A: -5.75 eV/atom

***

Q: final energy of number 1 (Ge2Pd3)?
A: -5.31 eV/atom